Entry 1:
Entry from Alexandria via LeMat-Bulk: an optimized crystal structure of RbNaHgPb (PBE).

Cell and atoms, written as POSCAR:
```
RbNaHgPb
1.0
0.0000 4.0075 4.0075
4.0075 0.0000 4.0075
4.0075 4.0075 0.0000
Rb Na Hg Pb
1 1 1 1
Direct
0.0000 0.0000 0.0000
0.7500 0.7500 0.7500
0.2500 0.2500 0.2500
0.5000 0.5000 0.5000
```

As for the crystal system: cubic. As for the space-group type: F-43m, No. 216. The raw total energy comes out at -1.680 eV per atom. Its formation energy is -0.105 eV/atom.

=====

Entry 2:
Entry from Alexandria via LeMat-Bulk: an optimized crystal structure of InBi2F2 (PBE).

Cell and atoms, written as POSCAR:
```
InBi2F2
1.0
-1.9259 1.9259 7.2168
1.9259 -1.9259 7.2168
1.9259 1.9259 -7.2168
In Bi F
1 2 2
Direct
0.0000 0.0000 0.0000
0.3688 0.3688 0.0000
0.6312 0.6312 0.0000
0.2500 0.7500 0.5000
0.7500 0.2500 0.5000
```

As for the crystal system: tetragonal. As for the space-group type: I4/mmm, No. 139. The raw total energy comes out at -3.841 eV per atom. For the uncorrected formation energy, the calculation gives -478.7 kJ/mol of formula units.

=====

Entry 3:
Entry from Alexandria via LeMat-Bulk: an optimized crystal structure of KSb5 (PBE).

Cell and atoms, written as POSCAR:
```
KSb5
1.0
0.0000 4.5013 4.5013
4.5013 0.0000 4.5013
4.5013 4.5013 0.0000
K Sb
1 5
Direct
0.0000 0.0000 0.0000
0.3768 0.3768 0.3768
0.3768 0.3768 0.8697
0.3768 0.8697 0.3768
0.7500 0.7500 0.7500
0.8697 0.3768 0.3768
```

As for the crystal system: cubic. As for the space-group type: F-43m, No. 216. The raw total energy comes out at -3.523 eV per atom. For the uncorrected formation energy, the calculation gives 55.0 kJ/mol of formula units.

=====

Entry 4:
Entry from Alexandria via LeMat-Bulk: an optimized crystal structure of K3Co2AgCl8 (PBE).

Cell and atoms, written as POSCAR:
```
K3Co2AgCl8
1.0
7.2518 0.0000 0.0000
-3.6259 6.2803 0.0000
0.0000 0.0000 8.9452
K Co Ag Cl
3 2 1 8
Direct
0.0000 0.0000 0.0000
0.3333 0.6667 0.6223
0.6667 0.3333 0.3777
0.3333 0.6667 0.2052
0.6667 0.3333 0.7948
0.0000 0.0000 0.5000
0.1680 0.3361 0.3075
0.1680 0.8320 0.3075
0.3333 0.6667 0.9593
0.3361 0.1680 0.6925
0.6639 0.8320 0.3075
0.6667 0.3333 0.0407
0.8320 0.1680 0.6925
0.8320 0.6639 0.6925
```

As for the crystal system: trigonal. As for the space-group type: P-3m1, No. 164. The raw total energy comes out at -3.641 eV per atom. For the uncorrected formation energy, the calculation gives -1529.2 kJ/mol of formula units.

=====

Entry 5:
Entry from Alexandria via LeMat-Bulk: an optimized crystal structure of Tl2ReSi (PBE).

Cell and atoms, written as POSCAR:
```
Tl2ReSi
1.0
4.9473 0.0000 0.0000
0.0000 4.9473 0.0000
0.0000 0.0000 3.2773
Tl Re Si
2 1 1
Direct
0.0000 0.5000 0.0000
0.5000 0.0000 0.0000
0.0000 0.0000 0.5000
0.5000 0.5000 0.5000
```

As for the crystal system: tetragonal. As for the space-group type: P4/mmm, No. 123. The raw total energy comes out at -4.488 eV per atom. For the uncorrected formation energy, the calculation gives 448.6 kJ/mol of formula units.